# 1
Material: ErSiAs
Method: DFT, GGA-PBE
State: optimized geometry

Cell and atoms, written as POSCAR:
```
ErSiAs
1.0
3.825 0.000 0.000
0.000 4.006 0.000
0.000 2.003 7.963
As Si Er
2 2 2
direct
0.750 0.749 0.503
0.250 0.251 0.497
0.250 0.545 0.911
0.750 0.455 0.089
0.750 0.107 0.786
0.250 0.893 0.214
```

Output
The value obtained for the raw formation energy is -73.6 kJ per mole of atoms. The magnetization is 0.00 μB/cell. The symmetry is Cmcm (63).


# 2
Material: SrTaSi2
Method: DFT, GGA-PBE
State: optimized geometry

Cell and atoms, written as POSCAR:
```
SrTaSi2
1.0
-0.354 -2.506 2.645
2.085 -1.921 -1.542
7.245 0.940 1.861
Ta Sr Si
1 1 2
direct
0.500 0.750 0.750
0.500 0.250 0.250
0.000 0.070 0.930
0.000 0.430 0.570
```

Output
As for the energy above the most stable polymorph in this dataset: 0.00 eV per formula unit. The value obtained for the raw formation energy is -17.4 kJ per mole of atoms. The magnetization is 0.00 μB/cell. The symmetry is Pmmm (47).


# 3
Material: SiH3O
Method: DFT, GGA-PBE
State: optimized geometry

Cell and atoms, written as POSCAR:
```
SiH3O
1.0
-1.228 -1.347 -2.757
-0.474 -2.850 1.604
-3.031 0.991 0.866
O Si H
1 1 3
direct
0.500 0.500 0.500
0.000 0.000 0.000
0.000 0.000 0.500
0.000 0.500 0.000
0.500 0.000 0.000
```

Output
As for the energy above the most stable polymorph in this dataset: 6.60 eV per formula unit. The magnetization is 1.19 μB/cell. The symmetry is Pm-3m (221).


# 4
Material: YSc5S6
Method: DFT, GGA-PBE
State: optimized geometry

Cell and atoms, written as POSCAR:
```
YSc5S6
1.0
0.236 3.904 -5.148
0.480 -6.403 -0.756
-6.296 0.447 1.399
S Sc Y
6 5 1
direct
0.429 0.085 0.257
0.915 0.571 0.743
0.085 0.429 0.257
0.741 0.741 0.254
0.259 0.259 0.746
0.571 0.915 0.743
0.838 0.162 0.500
0.500 0.500 0.500
0.162 0.838 0.500
0.666 0.334 0.000
0.334 0.666 0.000
0.000 0.000 0.000
```

Output
The value obtained for the raw formation energy is -181.7 kJ per mole of atoms. The magnetization is 0.00 μB/cell. The symmetry is C2/m (12).


# 5
Material: BaLiTb2Se4
Method: DFT, GGA-PBE
State: optimized geometry

Cell and atoms, written as POSCAR:
```
BaLiTb2Se4
1.0
-3.169 -2.672 0.889
5.249 -1.227 4.917
-5.848 9.827 8.695
Se Tb Ba Li
8 4 2 2
direct
0.000 0.000 0.000
0.265 0.531 0.386
0.438 0.876 0.750
0.000 0.000 0.500
0.735 0.469 0.886
0.562 0.124 0.250
0.265 0.531 0.114
0.735 0.469 0.614
0.373 0.745 0.556
0.627 0.255 0.056
0.373 0.745 0.944
0.627 0.255 0.444
0.883 0.767 0.250
0.117 0.233 0.750
0.845 0.690 0.750
0.155 0.310 0.250
```

Output
The value obtained for the raw formation energy is -174.3 kJ per mole of atoms. The magnetization is 0.00 μB/cell. The symmetry is Cmcm (63).


# 6
Material: AcNdSm
Method: DFT, GGA-PBE
State: optimized geometry

Cell and atoms, written as POSCAR:
```
AcNdSm
1.0
3.780 0.000 0.000
-1.890 3.273 0.000
0.000 0.000 18.426
Ac Nd Sm
2 2 2
direct
0.333 0.667 0.409
0.667 0.333 0.591
0.333 0.667 0.919
0.667 0.333 0.081
0.000 0.000 0.760
0.000 0.000 0.240
```

Output
The formation energy is 0.13 eV per formula unit. As for the energy above the most stable polymorph in this dataset: 0.02 eV per formula unit. The magnetization is 0.00 μB/cell. The symmetry is P-3m1 (164).


> Among the records above, which one has the highest magnetization?

SiH3O


> Look up the magnetization of the fourth one.

0.00 μB/cell